BaTaSe2: relaxed, PBE-GGA.

**ΔE_f (raw)**: -0.6089 eV per atom
**Total energy**: -5.795 eV per atom

Unit cell a=6.1916 b=6.1916 c=14.1257 alpha=90.00 beta=90.00 gamma=90.00
Space group I-42d (No. 122)
Asymmetric unit:
1 Ba 0.0000 0.0000 0.0000 x4
2 Ta 0.0000 0.0000 0.5000 x4
3 Se 0.1397 0.2500 0.6250 x8

---

CaSiMo: relaxed, PBE-GGA.

**ΔE_f (raw)**: 0.4246 eV per atom
**Total energy**: -5.661 eV per atom

Unit cell a=6.3457 b=6.3457 c=6.3457 alpha=90.00 beta=90.00 gamma=90.00
Space group F-43m (No. 216)
Asymmetric unit:
1 Ca 0.0000 0.0000 0.0000 x4
2 Si 0.2500 0.2500 0.2500 x4
3 Mo 0.0000 0.0000 0.5000 x4

---

Co2SbOs: relaxed, PBE-GGA.

**ΔE_f (raw)**: 0.7142 eV per atom
**Total energy**: -6.677 eV per atom

Unit cell a=3.8553 b=3.8553 c=17.2103 alpha=90.00 beta=90.00 gamma=90.00
Space group I-42d (No. 122)
Asymmetric unit:
1 Co 0.2033 0.2500 0.1250 x8
2 Sb 0.0000 0.0000 0.5000 x4
3 Os 0.0000 0.0000 0.0000 x4

---

Sr2SnS2: relaxed, PBE-GGA.

**ΔE_f (raw)**: -1.0306 eV per atom
**Total energy**: -4.155 eV per atom

Unit cell a=8.5592 b=8.5592 c=3.7262 alpha=90.00 beta=90.00 gamma=90.00
Space group P4/mbm (No. 127)
Asymmetric unit:
1 Sr 0.1473 0.3527 0.0000 x4
2 Sn 0.0000 0.0000 0.0000 x2
3 S 0.1566 0.6566 0.5000 x4

---

Ac2Zn5Ni4: relaxed, PBE-GGA.

**Energy of formation**: -0.26 eV per atom
**Total energy**: -3.691 eV per atom

Unit cell a=12.4155 b=5.4137 c=7.7361 alpha=90.00 beta=126.86 gamma=90.00
Space group C2/m (No. 12)
Asymmetric unit:
1 Ac 0.2299 0.0000 0.2943 x4
2 Zn 0.0000 0.5000 0.0000 x2
3 Zn 0.0499 0.2428 0.7628 x8
4 Ni 0.1160 0.0000 0.5572 x4
5 Ni 0.2242 0.5000 0.0606 x4

---

ScTl2Ru: relaxed, PBE-GGA.

**Energy of formation**: 0.28 eV per atom
**Total energy**: -4.806 eV per atom

Unit cell a=3.3134 b=3.3134 c=27.1731 alpha=90.00 beta=90.00 gamma=120.00
Space group R-3m (No. 166, hexagonal axes)
Asymmetric unit:
1 Sc 0.0000 0.0000 0.0000 x3
2 Tl 0.0000 0.0000 0.2427 x6
3 Ru 0.0000 0.0000 0.5000 x3

---

GeI2BrN: relaxed, PBE-GGA.

**ΔE_f (raw)**: 0.6274 eV per atom
**Total energy**: -2.916 eV per atom

Unit cell a=6.5230 b=6.5230 c=3.3613 alpha=90.00 beta=90.00 gamma=90.00
Space group P4/mmm (No. 123)
Asymmetric unit:
1 Ge 0.0000 0.0000 0.0000 x1
2 I 0.0000 0.5000 0.0000 x2
3 Br 0.5000 0.5000 0.5000 x1
4 N 0.0000 0.0000 0.5000 x1

---

Sc2In3Pb: relaxed, PBE-GGA.

**Energy of formation**: -0.21 eV per atom
**Total energy**: -4.304 eV per atom

Unit cell a=3.2939 b=9.5480 c=10.5136 alpha=110.23 beta=90.12 gamma=99.91
Space group P-1 (No. 2)
Asymmetric unit:
1 Sc 0.0387 0.0749 0.3810 x2
2 Sc 0.1163 0.2302 0.1378 x2
3 In 0.2435 0.4860 0.8546 x2
4 In 0.3158 0.6334 0.5935 x2
5 In 0.3865 0.7752 0.3581 x2
6 Pb 0.4584 0.9156 0.1198 x2

---

Sr2ScGa2: relaxed, PBE-GGA.

**Energy of formation**: -0.23 eV per atom
**Total energy**: -3.376 eV per atom

Unit cell a=7.6372 b=7.6372 c=5.0572 alpha=90.00 beta=90.00 gamma=90.00
Space group P4/mbm (No. 127)
Asymmetric unit:
1 Sr 0.1752 0.3248 0.0000 x4
2 Sc 0.0000 0.0000 0.5000 x2
3 Ga 0.1236 0.6236 0.5000 x4

---

Li2MgAu2: relaxed, PBE-GGA.

**Energy of formation**: -0.42 eV per atom
**Total energy**: -2.811 eV per atom

Unit cell a=3.6621 b=3.6621 c=13.2785 alpha=90.00 beta=90.00 gamma=90.00
Space group I4/mmm (No. 139)
Asymmetric unit:
1 Li 0.0000 0.5000 0.2500 x4
2 Mg 0.0000 0.0000 0.0000 x2
3 Au 0.0000 0.0000 0.3949 x4

---

La8OsPt3Br4: relaxed, PBE-GGA.

**ΔE_f (raw)**: -1.2513 eV per atom
**Total energy**: -5.968 eV per atom

Unit cell a=8.5229 b=8.5229 c=23.6368 alpha=90.00 beta=90.00 gamma=120.00
Space group R-3m (No. 166, hexagonal axes)
Asymmetric unit:
1 La 0.0000 0.0000 0.2325 x6
2 La 0.0106 0.5053 0.2327 x18
3 Os 0.0000 0.0000 0.5000 x3
4 Pt 0.0000 0.5000 0.5000 x9
5 Br 0.0000 0.0000 0.0000 x3
6 Br 0.0000 0.5000 0.0000 x9

---

CaLuSn2: relaxed, PBE-GGA.

**Energy of formation**: -0.49 eV per atom
**Total energy**: -4.121 eV per atom

Unit cell a=4.9477 b=4.9477 c=4.3610 alpha=90.00 beta=90.00 gamma=90.00
Space group P4/mmm (No. 123)
Asymmetric unit:
1 Ca 0.0000 0.0000 0.0000 x1
2 Lu 0.5000 0.5000 0.0000 x1
3 Sn 0.0000 0.5000 0.5000 x2

---

ThGaGeIr3: relaxed, PBE-GGA.

**Energy of formation**: -0.47 eV per atom
**Total energy**: -7.414 eV per atom

Unit cell a=5.6251 b=15.8056 c=5.6321 alpha=90.00 beta=90.00 gamma=90.00
Space group Cmcm (No. 63)
Asymmetric unit:
1 Th 0.0000 0.2040 0.2500 x4
2 Ga 0.0000 0.0984 0.7500 x4
3 Ge 0.0000 0.4106 0.7500 x4
4 Ir 0.0000 0.2551 0.7500 x4
5 Ir 0.2450 0.0000 0.0000 x8